Record 1
{"formula": "Cs2Sn2Bi", "functional": "PBE", "state": "optimized geometry", "e_form_ev_per_atom": -0.20, "sg": "Immm", "crystal_system": "orthorhombic", "density_g_cm3": 5.36, "cell": [[-2.8045, 3.0999, 6.3407], [2.8045, -3.0999, 6.3407], [2.8045, 3.0999, -6.3407]], "species": ["Cs", "Cs", "Sn", "Sn", "Bi"], "fractional_positions": [[0.2082, 0.2082, 0.0000], [0.7918, 0.7918, 0.0000], [0.2325, 0.5000, 0.7325], [0.7675, 0.5000, 0.2675], [0.5000, 0.0000, 0.5000]]}


Record 2
{"formula": "BaIn2Mo", "functional": "PBE", "state": "optimized geometry", "e_form_ev_per_atom": 0.58, "sg": "I-42d", "crystal_system": "tetragonal", "density_g_cm3": 5.23, "cell": [[-2.7944, 2.7944, 9.4096], [2.7944, -2.7944, 9.4096], [2.7944, 2.7944, -9.4096]], "species": ["Ba", "Ba", "In", "In", "In", "In", "Mo", "Mo"], "fractional_positions": [[0.0000, 0.0000, 0.0000], [0.7500, 0.2500, 0.5000], [0.3007, 0.6250, 0.1757], [0.3750, 0.5507, 0.6757], [0.4493, 0.1250, 0.8243], [0.8750, 0.6993, 0.3243], [0.2500, 0.7500, 0.5000], [0.5000, 0.5000, 0.0000]]}


Record 3
{"formula": "Ti2InSb2", "functional": "PBE", "state": "optimized geometry", "sg": "P4/mbm", "crystal_system": "tetragonal", "density_g_cm3": 6.76, "formation_energy_uncorrected_ev_per_atom": -0.10, "cell": [[8.0094, 0.0000, 0.0000], [0.0000, 8.0094, 0.0000], [0.0000, 0.0000, 3.4789]], "species": ["Ti", "Ti", "Ti", "Ti", "In", "In", "Sb", "Sb", "Sb", "Sb"], "fractional_positions": [[0.1340, 0.3660, 0.0000], [0.3660, 0.8660, 0.0000], [0.6340, 0.1340, 0.0000], [0.8660, 0.6340, 0.0000], [0.0000, 0.0000, 0.5000], [0.5000, 0.5000, 0.5000], [0.1513, 0.6513, 0.5000], [0.3487, 0.1513, 0.5000], [0.6513, 0.8487, 0.5000], [0.8487, 0.3487, 0.5000]]}


Record 4
{"formula": "BaYSn3", "functional": "PBE", "state": "optimized geometry", "e_form_ev_per_atom": -0.58, "sg": "Cmcm", "crystal_system": "orthorhombic", "density_g_cm3": 5.89, "cell": [[2.3734, -15.2717, 0.0000], [2.3734, 15.2717, 0.0000], [0.0000, 0.0000, 4.5272]], "species": ["Ba", "Ba", "Y", "Y", "Sn", "Sn", "Sn", "Sn", "Sn", "Sn"], "fractional_positions": [[0.0802, 0.9198, 0.7500], [0.9198, 0.0802, 0.2500], [0.2038, 0.7962, 0.2500], [0.7962, 0.2038, 0.7500], [0.3049, 0.6951, 0.2500], [0.3685, 0.6315, 0.7500], [0.4717, 0.5283, 0.7500], [0.5283, 0.4717, 0.2500], [0.6315, 0.3685, 0.2500], [0.6951, 0.3049, 0.7500]]}